No. 1
PtSCl2: relaxed, PBE.

```
4
Lattice="2.233 0.000 7.159 -1.116 1.934 7.159 -1.116 -1.934 7.159" Properties=species:S:1:pos:R:3 pbc="T T T"
Pt 0.000 0.000 10.738
Cl 0.000 0.000 2.283
S 0.000 0.000 0.000
Cl 0.000 0.000 19.193
```

Summary:
M_tot (μB per atom): 0.07
ρ (g cm⁻³): 5.3
Volume (Å³ per cell): 93
Offset from the most stable computed form (meV/atom): 341.7
Total energy (Ry/atom): -0.2161
ΔE_f (raw) (eV/atom): 0.525

No. 2
PtS2Cl: relaxed, PBE.

```
8
Lattice="3.558 0.000 0.000 0.000 5.219 -0.740 0.000 -1.275 10.018" Properties=species:S:1:pos:R:3 pbc="T T T"
Pt 0.137 1.630 2.481
S 1.915 1.597 0.932
S 0.137 -0.657 6.216
Cl 0.137 1.155 7.188
S 1.916 1.857 4.075
S 0.137 4.302 2.333
Pt 1.916 4.529 3.927
Cl 1.915 3.729 9.238
```

Summary:
M_tot (μB per atom): 0.00
ρ (g cm⁻³): 5.4
Volume (Å³ per cell): 183
Offset from the most stable computed form (meV/atom): 0.0
Total energy (Ry/atom): -0.3160
ΔE_f (raw) (eV/atom): -0.264

offset from the most stable computed form of number 2 (PtS2Cl)?
0.0 meV/atom